Entry 1:
Material: CsPrAg2Cl6
Method: DFT, PBE
State: optimized geometry

Calculated values
Final energy ... -3.7169 eV per atom
Total magnetic moment ... 0.0 μB/f.u.

a b c (Å): 7.6212 7.6214 7.9711
angles (deg): 61.53 61.47 60.01
Closest atoms and distances in Å follow each position.
Space group P1 (No. 1)
One atom of each set of equivalent atoms:
Cs 0.0000 0.0000 0.0000 [1 per cell]  6 Cl 3.44-3.52
Pr 0.4972 0.4973 0.5083 [1 per cell]  6 Cl 2.73-2.84
Ag 0.2898 0.2888 0.1314 [1 per cell]  4 Cl 2.70-3.02
Ag 0.7439 0.7449 0.7670 [1 per cell]  3 Cl 2.52
Cl 0.1014 0.6341 0.7992 [1 per cell]  1 Ag 2.52
Cl 0.2682 0.5231 0.3133 [1 per cell]  1 Ag 2.70, 1 Pr 2.73
Cl 0.4650 0.1021 0.8002 [1 per cell]  1 Ag 2.52
Cl 0.5238 0.8947 0.3140 [1 per cell]  1 Ag 2.70, 1 Pr 2.73
Cl 0.6343 0.4656 0.7989 [1 per cell]  1 Ag 2.52
Cl 0.8952 0.2671 0.3140 [1 per cell]  1 Ag 2.70, 1 Pr 2.73

***

Entry 2:
Material: CsPrAg2Cl8
Method: DFT, PBE
State: optimized geometry

Calculated values
Final energy ... -3.3524 eV per atom
Total magnetic moment ... 0.0 μB/f.u.

a b c (Å): 6.9179 6.9179 15.4670
angles (deg): 90.00 90.00 90.00
Closest atoms and distances in Å follow each position.
Space group I-4 (No. 82)
One atom of each set of equivalent atoms:
Cs 0.0000 0.0000 0.0000 [2 per cell]  8 Cl 3.42-3.55
Pr 0.0000 0.5000 0.2500 [2 per cell]  8 Cl 2.86-2.93
Ag 0.0000 0.0000 0.5000 [2 per cell]  4 Cl 2.56
Ag 0.0000 0.5000 0.7500 [2 per cell]  4 Cl 2.45
Cl 0.1091 0.2829 0.4055 [8 per cell]  1 Ag 2.56
Cl 0.1652 0.7896 0.8043 [8 per cell]  1 Ag 2.45

***

Entry 3:
Material: Cs2AgPtCl6
Method: DFT, PBE
State: optimized geometry

Calculated values
Final energy ... -3.2389 eV per atom
Total magnetic moment ... 0.5 μB/f.u.

a b c (Å): 7.3591 7.3591 37.6828
angles (deg): 90.00 90.00 120.00
Closest atoms and distances in Å follow each position.
Space group R-3m (No. 166, hexagonal axes)
One atom of each set of equivalent atoms:
Cs 0.0000 0.0000 0.1227 [6 per cell]  12 Cl 3.69-3.82
Cs 0.0000 0.0000 0.2942 [6 per cell]  12 Cl 3.65-4.08
Ag 0.0000 0.0000 0.4098 [6 per cell]  6 Cl 2.67-2.80
Pt 0.0000 0.0000 0.0000 [3 per cell]  6 Cl 2.47
Pt 0.0000 0.0000 0.5000 [3 per cell]  6 Cl 2.44
Cl 0.0168 0.5084 0.7043 [18 per cell]  1 Pt 2.47, 1 Ag 2.67
Cl 0.0220 0.5110 0.1290 [18 per cell]  1 Pt 2.44

***

Entry 4:
Material: CsAg2PtCl8
Method: DFT, PBE
State: optimized geometry

Calculated values
Final energy ... -2.9525 eV per atom
Total magnetic moment ... 0.4 μB/f.u.

a b c (Å): 6.4189 6.5448 9.2530
angles (deg): 69.68 72.77 72.71
Closest atoms and distances in Å follow each position.
Space group P-1 (No. 2)
One atom of each set of equivalent atoms:
Cs 0.0000 0.0000 0.0000 [1 per cell]  8 Cl 3.57-3.77
Ag 0.4181 0.4470 0.2328 [2 per cell]  4 Cl 2.51-2.75
Pt 0.0000 0.0000 0.5000 [1 per cell]  6 Cl 2.35-2.37
Cl 0.1461 0.7136 0.7069 [2 per cell]  1 Pt 2.36
Cl 0.2331 0.2212 0.4952 [2 per cell]  1 Pt 2.35, 1 Ag 2.52
Cl 0.2817 0.8388 0.3151 [2 per cell]  1 Pt 2.37
Cl 0.3966 0.2942 0.0105 [2 per cell]  2 Ag 2.51-2.63

***

Entry 5:
Material: CsAgPtCl6
Method: DFT, PBE
State: optimized geometry

Calculated values
Final energy ... -3.1434 eV per atom
Total magnetic moment ... 0.0 μB/f.u.

a b c (Å): 6.8843 6.8843 7.4772
angles (deg): 90.00 90.00 120.00
Closest atoms and distances in Å follow each position.
Space group P312 (No. 149)
One atom of each set of equivalent atoms:
Cs 0.0000 0.0000 0.0000 [1 per cell]  6 Cl 3.50
Ag 0.6667 0.3333 0.5000 [1 per cell]  6 Cl 2.79
Pt 0.3333 0.6667 0.5000 [1 per cell]  6 Cl 2.35
Cl 0.0477 0.3938 0.3193 [6 per cell]  1 Pt 2.35

***

Entry 6:
Material: CsPuAgCl5
Method: DFT, PBE
State: optimized geometry

Calculated values
Final energy ... -5.0008 eV per atom
Total magnetic moment ... 5.0 μB/f.u.

a b c (Å): 9.2338 12.7705 10.4456
angles (deg): 90.00 111.51 90.00
Closest atoms and distances in Å follow each position.
Space group C2/c (No. 15)
One atom of each set of equivalent atoms:
Cs 0.0000 0.1598 0.2500 [4 per cell]  7 Cl 3.52-3.77
Pu 0.0000 0.5000 0.0000 [4 per cell]  6 Cl 2.71-2.73
Ag 0.0000 0.1900 0.7500 [4 per cell]  4 Cl 2.60-2.64
Cl 0.0000 0.4364 0.2500 [4 per cell]  2 Pu 2.73
Cl 0.0948 0.3020 0.5878 [8 per cell]  1 Ag 2.60, 1 Pu 2.72
Cl 0.2000 0.0628 0.9276 [8 per cell]  1 Ag 2.64, 1 Pu 2.71

***

Entry 7:
Material: Cs2PuAgCl6
Method: DFT, PBE
State: optimized geometry

Calculated values
Final energy ... -4.6844 eV per atom
Total magnetic moment ... 5.0 μB/f.u.

a b c (Å): 7.6262 7.6262 6.7016
angles (deg): 90.00 90.00 120.00
Closest atoms and distances in Å follow each position.
Space group P-3m1 (No. 164)
One atom of each set of equivalent atoms:
Cs 0.3333 0.6667 0.2754 [2 per cell]  12 Cl 3.82-4.12
Pu 0.0000 0.0000 0.0000 [1 per cell]  6 Cl 2.72
Ag 0.0000 0.0000 0.5000 [1 per cell]  6 Cl 2.79
Cl 0.1655 0.3310 0.7580 [6 per cell]  1 Pu 2.72, 1 Ag 2.79

***

Entry 8:
Material: Cs3Pu2AgCl9
Method: DFT, PBE
State: optimized geometry

Calculated values
Final energy ... -5.1549 eV per atom
Total magnetic moment ... 11.0 μB/f.u.

a b c (Å): 7.8132 7.8132 9.6468
angles (deg): 90.00 90.00 120.00
Closest atoms and distances in Å follow each position.
Space group P-3m1 (No. 164)
One atom of each set of equivalent atoms:
Cs 0.0000 0.0000 0.0000 [1 per cell]  12 Cl 3.90-3.91
Cs 0.3333 0.6667 0.6465 [2 per cell]  12 Cl 3.79-4.09
Pu 0.3333 0.6667 0.1728 [2 per cell]  6 Cl 2.73-2.80
Ag 0.0000 0.0000 0.5000 [1 per cell]  6 Cl 2.78
Cl 0.0000 0.5000 0.0000 [3 per cell]  2 Pu 2.80
Cl 0.1663 0.3326 0.3307 [6 per cell]  1 Pu 2.73, 1 Ag 2.78